[1]
Here is a relaxed ScZnBN2 crystal from Alexandria. Energies are from PBE.

a b c (Å): 3.982 3.982 5.758
angles (deg): 90.00 90.00 90.00
Sites, in units of the cell vectors:
Sc  0.000  0.000  0.000
Zn  0.000  0.000  0.500
B  0.500  0.500  0.500
N  0.000  0.500  0.000
N  0.500  0.000  0.000


[2]
Here is a relaxed BSe2N crystal from Alexandria. Energies are from PBE.

a b c (Å): 4.140 4.140 4.140
angles (deg): 60.00 60.00 60.00
Sites, in units of the cell vectors:
B  0.000  0.000  0.000
Se  0.250  0.250  0.250
Se  0.750  0.750  0.750
N  0.500  0.500  0.500


[3]
Here is a relaxed B3SeN crystal from Alexandria. Energies are from PBE.

a b c (Å): 4.018 4.018 4.018
angles (deg): 90.00 90.00 90.00
Sites, in units of the cell vectors:
B  0.000  0.000  0.500
B  0.000  0.500  0.000
B  0.500  0.000  0.000
Se  0.000  0.000  0.000
N  0.500  0.500  0.500


[4]
Here is a relaxed B3SeN crystal from Alexandria. Energies are from PBE.

a b c (Å): 3.612 3.612 3.612
angles (deg): 90.00 90.00 90.00
Sites, in units of the cell vectors:
B  0.000  0.000  0.500
B  0.000  0.500  0.000
B  0.500  0.000  0.000
Se  0.500  0.500  0.500
N  0.000  0.000  0.000


In the order shown, the computed spin magnetization values come out to 0.0; 0.0; 0.0; 0.0 μB/cell.
In the order shown, the computed total energy values come out to -22.86; -14.18; -17.11; -22.21 eV per cell.
In the order shown, the computed formation energy (no corrections) values come out to 1.61; 1.95; 2.95; 1.93 eV/atom.